# PBE-GGA MnGaCu4, optimized geometry
# - Energy of formation from the pure elements: -0.0212 eV per atom
data_MnGaCu4
_chemical_formula_sum 'Mn2 Ga2 Cu8'
_cell_length_a 4.286
_cell_length_b 8.341
_cell_length_c 4.285
_cell_angle_alpha 90.00
_cell_angle_beta 90.00
_cell_angle_gamma 90.00
_symmetry_space_group_name_H-M 'C m m m'
_symmetry_Int_Tables_number 65
_symmetry_space_group_name_Hall '-C 2 2'
loop_
_atom_site_label
_atom_site_fract_x
_atom_site_fract_y
_atom_site_fract_z
Mn1 0.000 0.000 0.000
Ga1 0.000 0.500 0.500
Cu1 0.000 0.169 0.500
Cu2 0.000 0.331 0.000